ScPaCu10 | PBE | relaxed

The structure in extended XYZ format:
```
12
Lattice="-2.6701 -3.1274 0.0267 3.2916 -2.8310 -2.4178 3.1909 -2.6607 7.4597" Properties=species:S:1:pos:R:3 pbc="T T T"
Pa 3.2413 -2.7458 2.5210
Sc 0.0000 0.0000 0.0000
Cu 0.3107 -2.9792 -1.1955
Cu 2.1598 -1.8441 -0.0074
Cu 4.3228 -3.6476 5.0493
Cu 1.8863 -4.2714 5.0064
Cu 1.0381 -0.8656 2.4269
Cu 0.2866 -2.9375 1.2665
Cu 3.5259 -5.6815 3.8021
Cu 2.1528 -1.7950 5.0327
Cu 1.9261 -4.3476 0.0623
Cu 0.2604 -2.8940 3.7432
```

## Properties
**Formation energy**: -0.06 eV per atom
**Electronic total energy**: -57.54 eV/cell
**Space group**: No. 47